1.
Here is a geometry-optimized Cs3Te3Pb structure from the Alexandria database. Energies are from GGA-PBE.

Calculated values
Formation energy from raw total energies, meV/atom: -802
Space-group type: C2/m (12)
E_tot, eV/atom: -3.04

abc: 9.535 9.535 9.382
angles: 96.72 96.72 113.26
Atoms (fractional coordinates):
Cs (0.174, 0.826, 0.000)
Cs (0.242, 0.758, 0.500)
Cs (0.393, 0.393, 0.141)
Cs (0.607, 0.607, 0.859)
Cs (0.758, 0.242, 0.500)
Cs (0.826, 0.174, 0.000)
Te (0.105, 0.105, 0.301)
Te (0.155, 0.455, 0.783)
Te (0.455, 0.155, 0.783)
Te (0.545, 0.845, 0.217)
Te (0.845, 0.545, 0.217)
Te (0.895, 0.895, 0.699)
Pb (0.170, 0.170, 0.641)
Pb (0.830, 0.830, 0.359)


2.
Here is a geometry-optimized CsTePb structure from the Alexandria database. Energies are from GGA-PBE.

Calculated values
Formation energy from raw total energies, meV/atom: -607
Space-group type: C2/m (12)
E_tot, eV/atom: -3.17
Excess energy over the best structure of this formula in the dataset, eV per atom: 0.000

abc: 7.470 7.470 9.121
angles: 105.26 105.26 35.32
Atoms (fractional coordinates):
Cs (0.151, 0.151, 0.162)
Cs (0.849, 0.849, 0.838)
Te (0.434, 0.434, 0.206)
Te (0.566, 0.566, 0.794)
Pb (0.107, 0.107, 0.595)
Pb (0.893, 0.893, 0.405)


3.
Here is a geometry-optimized Cs5Te6Pb2 structure from the Alexandria database. Energies are from GGA-PBE.

Calculated values
Formation energy from raw total energies, meV/atom: -767
Space-group type: Pbam (55)
E_tot, eV/atom: -3.12

abc: 14.865 16.663 5.353
angles: 90.00 90.00 90.00
Atoms (fractional coordinates):
Cs (0.000, 0.000, 0.000)
Cs (0.082, 0.256, 0.000)
Cs (0.182, 0.501, 0.000)
Cs (0.318, 0.001, 0.000)
Cs (0.418, 0.756, 0.000)
Cs (0.500, 0.500, 0.000)
Cs (0.582, 0.244, 0.000)
Cs (0.682, 0.999, 0.000)
Cs (0.818, 0.499, 0.000)
Cs (0.918, 0.744, 0.000)
Te (0.007, 0.585, 0.500)
Te (0.166, 0.107, 0.500)
Te (0.167, 0.801, 0.000)
Te (0.333, 0.301, 0.000)
Te (0.334, 0.607, 0.500)
Te (0.493, 0.085, 0.500)
Te (0.507, 0.915, 0.500)
Te (0.666, 0.393, 0.500)
Te (0.667, 0.699, 0.000)
Te (0.833, 0.199, 0.000)
Te (0.834, 0.893, 0.500)
Te (0.993, 0.415, 0.500)
Pb (0.171, 0.706, 0.500)
Pb (0.329, 0.206, 0.500)
Pb (0.671, 0.794, 0.500)
Pb (0.829, 0.294, 0.500)


4.
Here is a geometry-optimized Cs2Te2Pb structure from the Alexandria database. Energies are from GGA-PBE.

Calculated values
Formation energy from raw total energies, meV/atom: -578
Space-group type: P4/mbm (127)
E_tot, eV/atom: -2.92
Excess energy over the best structure of this formula in the dataset, eV per atom: 0.237

abc: 9.064 9.064 5.653
angles: 90.00 90.00 90.00
Atoms (fractional coordinates):
Cs (0.141, 0.359, 0.000)
Cs (0.359, 0.859, 0.000)
Cs (0.641, 0.141, 0.000)
Cs (0.859, 0.641, 0.000)
Te (0.174, 0.674, 0.500)
Te (0.326, 0.174, 0.500)
Te (0.674, 0.826, 0.500)
Te (0.826, 0.326, 0.500)
Pb (0.000, 0.000, 0.500)
Pb (0.500, 0.500, 0.500)


5.
Here is a geometry-optimized CsTePb structure from the Alexandria database. Energies are from GGA-PBE.

Calculated values
Formation energy from raw total energies, meV/atom: -587
Space-group type: P-1 (2)
E_tot, eV/atom: -3.15
Excess energy over the best structure of this formula in the dataset, eV per atom: 0.020

abc: 4.618 6.093 10.202
angles: 93.40 96.60 92.15
Atoms (fractional coordinates):
Cs (0.195, 0.234, 0.345)
Cs (0.805, 0.766, 0.655)
Te (0.331, 0.282, 0.735)
Te (0.669, 0.718, 0.265)
Pb (0.102, 0.748, 0.060)
Pb (0.898, 0.252, 0.940)


6.
Here is a geometry-optimized CsTePb structure from the Alexandria database. Energies are from GGA-PBE.

Calculated values
Formation energy from raw total energies, meV/atom: -492
Space-group type: P-6m2 (187)
E_tot, eV/atom: -3.06
Excess energy over the best structure of this formula in the dataset, eV per atom: 0.115

abc: 5.457 5.457 5.487
angles: 90.00 90.00 120.00
Atoms (fractional coordinates):
Cs (0.000, 0.000, 0.000)
Te (0.667, 0.333, 0.500)
Pb (0.333, 0.667, 0.500)


7.
Here is a geometry-optimized CsTePb structure from the Alexandria database. Energies are from GGA-PBE.

Calculated values
Formation energy from raw total energies, meV/atom: -600
Space-group type: Cmcm (63)
E_tot, eV/atom: -3.17
Excess energy over the best structure of this formula in the dataset, eV per atom: 0.007

abc: 8.097 8.097 7.011
angles: 90.00 90.00 145.98
Atoms (fractional coordinates):
Cs (0.196, 0.804, 0.750)
Cs (0.804, 0.196, 0.250)
Te (0.104, 0.896, 0.250)
Te (0.896, 0.104, 0.750)
Pb (0.500, 0.500, 0.000)
Pb (0.500, 0.500, 0.500)


8.
Here is a geometry-optimized Cs2TePb2 structure from the Alexandria database. Energies are from GGA-PBE.

Calculated values
Formation energy from raw total energies, meV/atom: -257
Space-group type: P4/mbm (127)
E_tot, eV/atom: -2.71

abc: 8.582 8.582 6.175
angles: 90.00 90.00 90.00
Atoms (fractional coordinates):
Cs (0.194, 0.306, 0.000)
Cs (0.306, 0.806, 0.000)
Cs (0.694, 0.194, 0.000)
Cs (0.806, 0.694, 0.000)
Te (0.000, 0.000, 0.500)
Te (0.500, 0.500, 0.500)
Pb (0.123, 0.623, 0.500)
Pb (0.377, 0.123, 0.500)
Pb (0.623, 0.877, 0.500)
Pb (0.877, 0.377, 0.500)


9.
Here is a geometry-optimized CsTe3Pb structure from the Alexandria database. Energies are from GGA-PBE.

Calculated values
Formation energy from raw total energies, meV/atom: 823
Space-group type: Pm-3m (221)
E_tot, eV/atom: -1.97
Excess energy over the best structure of this formula in the dataset, eV per atom: 0.970

abc: 6.236 6.236 6.236
angles: 90.00 90.00 90.00
Atoms (fractional coordinates):
Cs (0.000, 0.000, 0.000)
Te (0.000, 0.000, 0.500)
Te (0.000, 0.500, 0.000)
Te (0.500, 0.000, 0.000)
Pb (0.500, 0.500, 0.500)


10.
Here is a geometry-optimized CsTe3Pb3 structure from the Alexandria database. Energies are from GGA-PBE.

Calculated values
Formation energy from raw total energies, meV/atom: -283
Space-group type: Pm-3n (223)
E_tot, eV/atom: -3.34
Excess energy over the best structure of this formula in the dataset, eV per atom: 0.085

abc: 8.939 8.939 8.939
angles: 90.00 90.00 90.00
Atoms (fractional coordinates):
Cs (0.000, 0.000, 0.000)
Cs (0.500, 0.500, 0.500)
Te (0.000, 0.250, 0.500)
Te (0.000, 0.750, 0.500)
Te (0.250, 0.500, 0.000)
Te (0.500, 0.000, 0.250)
Te (0.500, 0.000, 0.750)
Te (0.750, 0.500, 0.000)
Pb (0.000, 0.500, 0.250)
Pb (0.000, 0.500, 0.750)
Pb (0.250, 0.000, 0.500)
Pb (0.500, 0.250, 0.000)
Pb (0.500, 0.750, 0.000)
Pb (0.750, 0.000, 0.500)


11.
Here is a geometry-optimized CsTePb structure from the Alexandria database. Energies are from GGA-PBE.

Calculated values
Formation energy from raw total energies, meV/atom: -471
Space-group type: Cm (8)
E_tot, eV/atom: -3.04
Excess energy over the best structure of this formula in the dataset, eV per atom: 0.136

abc: 10.958 10.958 4.469
angles: 100.09 100.09 36.85
Atoms (fractional coordinates):
Cs (0.000, 0.000, 0.000)
Cs (0.716, 0.716, 0.658)
Te (0.151, 0.151, 0.630)
Te (0.474, 0.474, 0.466)
Pb (0.252, 0.252, 0.210)
Pb (0.373, 0.373, 0.883)


12.
Here is a geometry-optimized CsTe3Pb3 structure from the Alexandria database. Energies are from GGA-PBE.

Calculated values
Formation energy from raw total energies, meV/atom: -368
Space-group type: R-3 (148)
E_tot, eV/atom: -3.43
Excess energy over the best structure of this formula in the dataset, eV per atom: 0.000

abc: 10.002 10.002 10.002
angles: 57.19 57.19 57.19
Atoms (fractional coordinates):
Cs (0.166, 0.166, 0.166)
Cs (0.834, 0.834, 0.834)
Te (0.066, 0.446, 0.701)
Te (0.299, 0.934, 0.554)
Te (0.446, 0.701, 0.066)
Te (0.554, 0.299, 0.934)
Te (0.701, 0.066, 0.446)
Te (0.934, 0.554, 0.299)
Pb (0.054, 0.748, 0.337)
Pb (0.252, 0.663, 0.946)
Pb (0.337, 0.054, 0.748)
Pb (0.663, 0.946, 0.252)
Pb (0.748, 0.337, 0.054)
Pb (0.946, 0.252, 0.663)